Here is BaHfN2 after structural relaxation from OQMD via LeMat-Bulk. Energies are from PBE.

Lattice parameters (Å, degrees): 4.1337 4.1337 8.4044 90.00 90.00 90.00
With the nearest neighbours (Å) after each atom.
Sites, in units of the cell vectors:
Ba 0.0000 0.0000 0.0000  5 N 2.77-2.93
Ba 0.5000 0.5000 0.3038  5 N 2.78-2.93
Hf 0.0000 0.0000 0.5663  5 N 1.99-2.19
Hf 0.5000 0.5000 0.7369  5 N 1.98-2.19
N 0.0000 0.0000 0.3297  1 Hf 1.99
N 0.0000 0.5000 0.6511  4 Hf 2.19
N 0.5000 0.0000 0.6511  4 Hf 2.19
N 0.5000 0.5000 0.9730  1 Hf 1.98



Here is BaHfNO after structural relaxation from OQMD via LeMat-Bulk. Energies are from PBE.

Lattice parameters (Å, degrees): 4.2946 4.2946 10.2230 90.00 90.00 90.00
With the nearest neighbours (Å) after each atom.
Sites, in units of the cell vectors:
Ba 0.2500 0.2500 0.1238  4 O 2.49
Ba 0.7500 0.7500 0.8762  4 O 2.49
Hf 0.2500 0.7500 0.5000  4 N 2.17
Hf 0.7500 0.2500 0.5000  4 N 2.17
N 0.2500 0.2500 0.5276  4 Hf 2.17
N 0.7500 0.7500 0.4724  4 Hf 2.17
O 0.2500 0.7500 0.0000  4 Ba 2.49
O 0.7500 0.2500 0.0000  4 Ba 2.49



Here is BaHfNO after structural relaxation from OQMD via LeMat-Bulk. Energies are from PBE.

Lattice parameters (Å, degrees): 3.7327 7.1546 6.0244 90.00 90.00 90.00
With the nearest neighbours (Å) after each atom.
Sites, in units of the cell vectors:
Ba 0.0000 0.1549 0.0000  2 N 2.71-2.97, 2 O 2.84
Ba 0.0000 0.8451 0.5000  2 N 2.71-2.97, 2 O 2.84
Hf 0.5000 0.3399 0.5173  2 O 2.02, 2 N 2.05
Hf 0.5000 0.6601 0.0173  2 O 2.02, 2 N 2.05
N 0.0000 0.2233 0.4862  2 Hf 2.05
N 0.0000 0.7767 0.9862  2 Hf 2.05
O 0.5000 0.4222 0.8380  2 Hf 2.02
O 0.5000 0.5778 0.3379  2 Hf 2.02



Here is BaHfNO after structural relaxation from OQMD via LeMat-Bulk. Energies are from PBE.

Lattice parameters (Å, degrees): 3.9908 6.2772 6.1594 90.00 90.00 90.00
With the nearest neighbours (Å) after each atom.
Sites, in units of the cell vectors:
Ba 0.0000 0.2351 0.0000  1 O 2.72, 4 N 3.02
Ba 0.0000 0.7649 0.5000  1 O 2.72, 4 N 3.02
Hf 0.5000 0.2921 0.5003  2 N 2.02, 2 O 2.08
Hf 0.5000 0.7079 0.0003  2 N 2.02, 2 O 2.08
N 0.5000 0.4999 0.2503  2 Hf 2.02
N 0.5000 0.5001 0.7503  2 Hf 2.02
O 0.0000 0.1976 0.5010  2 Hf 2.08
O 0.0000 0.8024 0.0010  2 Hf 2.08



Here is BaHfNO after structural relaxation from OQMD via LeMat-Bulk. Energies are from PBE.

Lattice parameters (Å, degrees): 4.6021 4.6021 6.8894 90.00 90.00 90.00
With the nearest neighbours (Å) after each atom.
Sites, in units of the cell vectors:
Ba 0.2500 0.7500 0.0000  4 N 2.63
Ba 0.7500 0.2500 0.0000  4 N 2.63
Hf 0.2500 0.2500 0.4616  1 N 1.90
Hf 0.7500 0.7500 0.5384  1 N 1.90
N 0.2500 0.2500 0.1862  1 Hf 1.90
N 0.7500 0.7500 0.8138  1 Hf 1.90
O 0.2500 0.7500 0.5000  4 Hf 2.32
O 0.7500 0.2500 0.5000  4 Hf 2.32



Here is BaHfNO after structural relaxation from OQMD via LeMat-Bulk. Energies are from PBE.

Lattice parameters (Å, degrees): 6.7364 8.0376 5.6888 90.00 90.00 90.00
With the nearest neighbours (Å) after each atom.
Sites, in units of the cell vectors:
Ba 0.0616 0.1389 0.0000  3 O 2.61-2.76, 1 N 2.88
Ba 0.4384 0.1389 0.5000  3 O 2.61-2.76, 1 N 2.88
Ba 0.5616 0.8611 0.0000  3 O 2.61-2.76, 1 N 2.88
Ba 0.9384 0.8611 0.5000  3 O 2.61-2.76, 1 N 2.88
Hf 0.0963 0.6093 0.9908  1 O 2.00, 3 N 2.07-2.17
Hf 0.4037 0.6093 0.4908  1 O 2.00, 3 N 2.07-2.17
Hf 0.5963 0.3907 0.9908  1 O 2.00, 3 N 2.07-2.17
Hf 0.9037 0.3907 0.4908  1 O 2.00, 3 N 2.07-2.17
N 0.1155 0.5497 0.6371  3 Hf 2.07-2.17
N 0.3845 0.5497 0.1371  3 Hf 2.07-2.17
N 0.6155 0.4503 0.6371  3 Hf 2.07-2.17
N 0.8845 0.4503 0.1371  3 Hf 2.07-2.17
O 0.0547 0.1772 0.4821  1 Hf 2.00
O 0.4453 0.1772 0.9821  1 Hf 2.00
O 0.5547 0.8228 0.4821  1 Hf 2.00
O 0.9453 0.8228 0.9821  1 Hf 2.00



Here is BaHfNO after structural relaxation from OQMD via LeMat-Bulk. Energies are from PBE.

Lattice parameters (Å, degrees): 4.2880 4.2880 10.2853 90.00 90.00 90.00
With the nearest neighbours (Å) after each atom.
Sites, in units of the cell vectors:
Ba 0.2500 0.2500 0.1240  4 O 2.49
Ba 0.7500 0.7500 0.8760  4 O 2.49
Hf 0.2500 0.7500 0.5000  4 N 2.17
Hf 0.7500 0.2500 0.5000  4 N 2.17
N 0.2500 0.2500 0.5305  4 Hf 2.17
N 0.7500 0.7500 0.4695  4 Hf 2.17
O 0.2500 0.7500 0.0000  4 Ba 2.49
O 0.7500 0.2500 0.0000  4 Ba 2.49



Here is Ba2HfSnN4 after structural relaxation from OQMD via LeMat-Bulk. Energies are from PBE.

Lattice parameters (Å, degrees): 4.1509 4.1509 8.3907 90.00 90.00 90.00
With the nearest neighbours (Å) after each atom.
Sites, in units of the cell vectors:
Ba 0.0000 0.0000 0.0000  5 N 2.75-2.94
Ba 0.5000 0.5000 0.3072  5 N 2.63-2.94
Hf 0.0000 0.0000 0.5634  5 N 1.98-2.19
Sn 0.5000 0.5000 0.7509  5 N 2.04-2.25
N 0.0000 0.0000 0.3277  1 Hf 1.98
N 0.0000 0.5000 0.6484  2 Hf 2.19, 2 Sn 2.25
N 0.5000 0.0000 0.6484  2 Hf 2.19, 2 Sn 2.25
N 0.5000 0.5000 0.9941  1 Sn 2.04



Here is Ba2HfWN4 after structural relaxation from OQMD via LeMat-Bulk. Energies are from PBE.

Lattice parameters (Å, degrees): 4.0688 4.0688 8.3222 90.00 90.00 90.00
With the nearest neighbours (Å) after each atom.
Sites, in units of the cell vectors:
Ba 0.0000 0.0000 0.0000  5 N 2.88-2.89
Ba 0.5000 0.5000 0.3016  5 N 2.82-2.90
Hf 0.0000 0.0000 0.5837  5 N 1.98-2.20
W 0.5000 0.5000 0.7399  1 N 1.86
N 0.0000 0.0000 0.3463  1 Hf 1.98
N 0.0000 0.5000 0.6847  2 W 2.09, 2 Hf 2.20
N 0.5000 0.0000 0.6847  2 W 2.09, 2 Hf 2.20
N 0.5000 0.5000 0.9631  1 W 1.86



Here is BaNaHf after structural relaxation from OQMD via LeMat-Bulk. Energies are from PBE.

Lattice parameters (Å, degrees): 5.3973 5.3973 5.3973 60.00 60.00 60.00
With the nearest neighbours (Å) after each atom.
Sites, in units of the cell vectors:
Ba 0.0000 0.0000 0.0000  4 Hf 3.31
Na 0.5000 0.5000 0.5000  4 Hf 3.31
Hf 0.2500 0.2500 0.2500  4 Ba 3.31, 4 Na 3.31



Here is BaNaHf after structural relaxation from OQMD via LeMat-Bulk. Energies are from PBE.

Lattice parameters (Å, degrees): 5.3348 5.3348 5.3348 60.00 60.00 60.00
With the nearest neighbours (Å) after each atom.
Sites, in units of the cell vectors:
Ba 0.0000 0.0000 0.0000  4 Hf 3.27, 4 Na 3.27
Na 0.2500 0.2500 0.2500  4 Ba 3.27
Hf 0.7500 0.7500 0.7500  4 Ba 3.27



Here is BaNdHf after structural relaxation from OQMD via LeMat-Bulk. Energies are from PBE.

Lattice parameters (Å, degrees): 5.5089 5.5089 5.5089 60.00 60.00 60.00
With the nearest neighbours (Å) after each atom.
Sites, in units of the cell vectors:
Ba 0.0000 0.0000 0.0000  4 Nd 3.37
Nd 0.2500 0.2500 0.2500  4 Hf 3.37, 4 Ba 3.37
Hf 0.5000 0.5000 0.5000  4 Nd 3.37



Which density belongs to each record? In order, 7951 6091 7138 7443 7871 7457 6073 7212 8352 5060 5240 6462 kg/m³.
Which raw total energy belongs to each record? In order, -0.6230 -0.5746 -0.6001 -0.6067 -0.5709 -0.6026 -0.5747 -0.5227 -0.6163 -0.2275 -0.2174 -0.3185 Ry/atom.